(1)
## MnCuHg3 (GGA-PBE)

Data for MnCuHg3 after structural relaxation.

Unit cell a=5.202 b=5.202 c=5.202 alpha=90.00 beta=90.00 gamma=90.00
Positions (direct):
Mn 0.000 0.000 0.000
Cu 0.500 0.500 0.500
Hg 0.000 0.000 0.500
Hg 0.000 0.500 0.000
Hg 0.500 0.000 0.000

Results
- distance to the lowest polymorph of the same formula (eV/atom) = 0.1658
- space group = Pm-3m

***

(2)
## MnCuHg2 (GGA-PBE)

Data for MnCuHg2 after structural relaxation.

Unit cell a=3.236 b=3.213 c=6.791 alpha=90.00 beta=90.27 gamma=90.00
Positions (direct):
Mn 0.000 0.000 0.000
Cu 0.000 0.000 0.500
Hg 0.500 0.500 0.260
Hg 0.500 0.500 0.740

Results
- distance to the lowest polymorph of the same formula (eV/atom) = 0.0243
- space group = P2/m

***

(3)
## MnCuHg (GGA-PBE)

Data for MnCuHg after structural relaxation.

Unit cell a=4.469 b=4.469 c=2.881 alpha=90.00 beta=90.00 gamma=120.00
Positions (direct):
Mn 0.000 0.000 0.000
Cu 0.667 0.333 0.500
Hg 0.333 0.667 0.500

Results
- distance to the lowest polymorph of the same formula (eV/atom) = 0.0681
- space group = P-6m2

***

(4)
## MnCuHg3 (GGA-PBE)

Data for MnCuHg3 after structural relaxation.

Unit cell a=5.013 b=5.013 c=5.013 alpha=90.00 beta=90.00 gamma=90.00
Positions (direct):
Mn 0.000 0.000 0.000
Cu 0.500 0.500 0.500
Hg 0.000 0.500 0.500
Hg 0.500 0.000 0.500
Hg 0.500 0.500 0.000

Results
- distance to the lowest polymorph of the same formula (eV/atom) = 0.0000
- space group = Pm-3m

***

(5)
## MnCu2Hg2 (GGA-PBE)

Data for MnCu2Hg2 after structural relaxation.

Unit cell a=6.943 b=6.943 c=3.575 alpha=90.00 beta=90.00 gamma=90.00
Positions (direct):
Mn 0.000 0.000 0.000
Mn 0.500 0.500 0.000
Cu 0.127 0.373 0.000
Cu 0.373 0.873 0.000
Cu 0.627 0.127 0.000
Cu 0.873 0.627 0.000
Hg 0.175 0.675 0.500
Hg 0.325 0.175 0.500
Hg 0.675 0.825 0.500
Hg 0.825 0.325 0.500

Results
- space group = P4/mbm

***

(6)
## MnCu2Hg (GGA-PBE)

Data for MnCu2Hg after structural relaxation.

Unit cell a=3.968 b=3.968 c=3.870 alpha=90.00 beta=90.00 gamma=90.00
Positions (direct):
Mn 0.000 0.000 0.000
Cu 0.000 0.500 0.500
Cu 0.500 0.000 0.500
Hg 0.500 0.500 0.000

Results
- space group = P4/mmm

***

Number 1: E_form 0.75 eV/atom. Number 2: E_form 0.26 eV/atom. Number 3: E_form 0.31 eV/atom. Number 4: E_form 0.59 eV/atom. Number 5: E_form 0.30 eV/atom. Number 6: E_form 0.24 eV/atom.